CrGeBr2F: relaxed, PBE+U.

Properties
symmetry = P4/mmm
total DFT energy (no corrections) = -3.82 eV/atom

Cell: 5.7682 5.7682 3.9360 Å, 90.00 90.00 90.00°
With the nearest neighbours (Å) after each atom.
Sites, in units of the cell vectors:
Cr (0.0000, 0.0000, 0.0000)  8 Br 3.49
Ge (0.5000, 0.5000, 0.0000)  2 F 1.97
Br (0.0000, 0.5000, 0.5000)  2 F 2.88
Br (0.5000, 0.0000, 0.5000)  2 F 2.88
F (0.5000, 0.5000, 0.5000)  2 Ge 1.97